(1)
BaCrAs2S | GGA-PBEsol | relaxed

Cell: 4.585 4.585 5.337 Å, 90.00 90.00 90.00°
Element x y z (fractional)
S 0.000 0.000 0.500
Cr 0.000 0.000 0.000
As 0.000 0.500 0.000
As 0.500 0.000 0.000
Ba 0.500 0.500 0.500

Computed properties:
uncorrected energy	-5.922	eV per atom
symmetry	P4/mmm, No. 123

---

(2)
BaCrAsSe2 | GGA-PBEsol | relaxed

Cell: 4.613 5.076 5.076 Å, 90.00 90.00 90.00°
Element x y z (fractional)
Cr 0.000 0.000 0.000
As 0.500 0.000 0.000
Ba 0.500 0.500 0.500
Se 0.000 0.000 0.500
Se 0.000 0.500 0.000

Computed properties:
uncorrected energy	-5.732	eV per atom
symmetry	P4/mmm, No. 123

---

(3)
CsBaAs | GGA-PBEsol | relaxed

Cell: 5.492 9.369 9.297 Å, 90.00 90.00 90.00°
Element x y z (fractional)
Cs 0.250 0.833 0.985
Cs 0.750 0.333 0.515
Cs 0.750 0.167 0.015
Cs 0.250 0.667 0.485
As 0.250 0.398 0.197
As 0.750 0.898 0.303
As 0.750 0.602 0.803
As 0.250 0.102 0.697
Ba 0.250 0.415 0.847
Ba 0.750 0.915 0.653
Ba 0.750 0.585 0.153
Ba 0.250 0.085 0.347

Computed properties:
uncorrected energy	-3.516	eV per atom
symmetry	Pnma, No. 62

---

(4)
BaCu6As2 | GGA-PBEsol | relaxed

Cell: 4.139 4.139 8.604 Å, 90.00 90.00 90.00°
Element x y z (fractional)
Ba 0.000 0.000 0.000
Cu 0.000 0.500 0.340
Cu 0.500 0.000 0.340
Cu 0.000 0.500 0.660
Cu 0.500 0.000 0.660
Cu 0.500 0.500 0.500
Cu 0.000 0.000 0.500
As 0.500 0.500 0.198
As 0.500 0.500 0.802

Computed properties:
uncorrected energy	-4.531	eV per atom
symmetry	P4/mmm, No. 123

---

(5)
BaCu2As2 | GGA-PBEsol | relaxed

Cell: 4.210 4.210 6.359 Å, 109.33 109.33 90.00°
Element x y z (fractional)
As 0.362 0.362 0.724
As 0.638 0.638 0.276
Ba 0.000 0.000 0.000
Cu 0.250 0.750 0.500
Cu 0.750 0.250 0.500

Computed properties:
uncorrected energy	-4.728	eV per atom
symmetry	I4/mmm, No. 139

---

(6)
BaZn2Cu2As3 | GGA-PBEsol | relaxed

Cell: 4.129 6.554 12.063 Å, 90.00 90.00 108.36°
Element x y z (fractional)
Ba 0.822 0.644 0.250
Ba 0.178 0.356 0.750
Zn 0.170 0.340 0.442
Zn 0.830 0.660 0.558
Zn 0.830 0.660 0.942
Zn 0.170 0.340 0.058
Cu 0.548 0.096 0.355
Cu 0.452 0.904 0.645
Cu 0.452 0.904 0.855
Cu 0.548 0.096 0.145
As 0.378 0.757 0.454
As 0.622 0.243 0.546
As 0.622 0.243 0.954
As 0.378 0.757 0.046
As 0.095 0.191 0.250
As 0.905 0.809 0.750

Computed properties:
uncorrected energy	-4.066	eV per atom
symmetry	Cmcm, No. 63

---

(7)
BaAs2F | GGA-PBEsol | relaxed

Cell: 3.797 3.797 12.930 Å, 98.44 98.44 90.00°
Element x y z (fractional)
As 0.414 0.875 0.250
As 0.836 0.375 0.250
As 0.125 0.164 0.750
As 0.625 0.586 0.750
Ba 0.250 0.750 0.500
Ba 0.000 0.000 0.000
F 0.750 0.250 0.500
F 0.500 0.500 0.000

Computed properties:
uncorrected energy	-5.114	eV per atom
symmetry	I-42d, No. 122

---

(8)
BaAsN2F | GGA-PBEsol | relaxed

Cell: 4.800 5.330 5.330 Å, 90.00 90.00 90.00°
Element x y z (fractional)
As 0.500 0.500 0.500
N 0.000 0.000 0.500
N 0.000 0.500 0.000
Ba 0.000 0.000 0.000
F 0.500 0.000 0.000

Computed properties:
uncorrected energy	-4.228	eV per atom
symmetry	P4/mmm, No. 123

---

(9)
BaFe2As2 | GGA-PBEsol | relaxed

Cell: 3.913 3.913 6.775 Å, 106.78 106.78 90.00°
Element x y z (fractional)
As 0.346 0.346 0.692
As 0.654 0.654 0.308
Ba 0.000 0.000 0.000
Fe 0.750 0.250 0.500
Fe 0.250 0.750 0.500

Computed properties:
uncorrected energy	-6.642	eV per atom
symmetry	I4/mmm, No. 139

---

(10)
KBa4Fe10As10 | GGA-PBEsol | relaxed

Cell: 8.682 8.771 8.682 Å, 60.34 90.00 119.66°
Element x y z (fractional)
K 0.000 0.000 0.000
As 0.946 0.693 0.854
As 0.347 0.694 0.653
As 0.747 0.693 0.453
As 0.146 0.693 0.253
As 0.547 0.693 0.054
As 0.653 0.306 0.347
As 0.054 0.307 0.146
As 0.453 0.307 0.946
As 0.854 0.307 0.747
As 0.253 0.307 0.547
Fe 0.949 0.499 0.151
Fe 0.351 0.501 0.949
Fe 0.750 0.500 0.750
Fe 0.151 0.501 0.549
Fe 0.549 0.499 0.351
Fe 0.649 0.499 0.051
Fe 0.051 0.501 0.849
Fe 0.451 0.501 0.649
Fe 0.849 0.499 0.451
Fe 0.250 0.500 0.250
Ba 0.394 0.000 0.802
Ba 0.802 0.000 0.606
Ba 0.198 0.000 0.394
Ba 0.606 0.000 0.198

Computed properties:
uncorrected energy	-6.547	eV per atom
symmetry	I4/m, No. 87

---

(11)
Ba4NaFe10As10 | GGA-PBEsol | relaxed

Cell: 8.685 8.719 8.685 Å, 60.13 90.00 119.87°
Element x y z (fractional)
Ba 0.198 0.000 0.607
Ba 0.393 0.000 0.198
Ba 0.607 0.000 0.802
Ba 0.802 0.000 0.393
Na 0.000 0.000 0.000
Fe 0.351 0.501 0.550
Fe 0.550 0.499 0.150
Fe 0.750 0.500 0.750
Fe 0.950 0.499 0.351
Fe 0.150 0.501 0.950
Fe 0.450 0.501 0.850
Fe 0.649 0.499 0.450
Fe 0.850 0.499 0.050
Fe 0.050 0.501 0.649
Fe 0.250 0.500 0.250
As 0.452 0.305 0.748
As 0.652 0.305 0.348
As 0.853 0.305 0.947
As 0.053 0.305 0.548
As 0.252 0.305 0.147
As 0.348 0.695 0.652
As 0.548 0.695 0.252
As 0.748 0.695 0.853
As 0.947 0.695 0.452
As 0.147 0.695 0.053

Computed properties:
uncorrected energy	-6.545	eV per atom
symmetry	I4/m, No. 87

---

(12)
Ba2ScFeAsO3 | GGA-PBEsol | relaxed

Cell: 4.082 4.082 16.571 Å, 90.00 90.00 90.00°
Element x y z (fractional)
Ba 0.500 0.000 0.180
Ba 0.000 0.500 0.820
Ba 0.500 0.000 0.413
Ba 0.000 0.500 0.587
Sc 0.000 0.500 0.307
Sc 0.500 0.000 0.693
Fe 0.500 0.500 0.000
Fe 0.000 0.000 0.000
As 0.000 0.500 0.068
As 0.500 0.000 0.932
O 0.000 0.500 0.427
O 0.500 0.000 0.573
O 0.500 0.500 0.286
O 0.000 0.000 0.286
O 0.500 0.500 0.714
O 0.000 0.000 0.714

Computed properties:
uncorrected energy	-7.400	eV per atom
symmetry	P4/nmm, No. 129

---

(13)
Ba7Ga4As9 | GGA-PBEsol | relaxed

Cell: 6.745 10.154 16.967 Å, 90.00 90.00 90.00°
Element x y z (fractional)
Ba 0.453 0.500 0.784
Ba 0.453 0.500 0.216
Ba 0.547 0.000 0.716
Ba 0.547 0.000 0.284
Ba 0.945 0.276 0.875
Ba 0.945 0.724 0.875
Ba 0.945 0.276 0.125
Ba 0.945 0.724 0.125
Ba 0.055 0.224 0.625
Ba 0.055 0.776 0.625
Ba 0.055 0.224 0.375
Ba 0.055 0.776 0.375
Ba 0.409 0.500 0.500
Ba 0.591 0.000 0.000
Ga 0.765 0.500 0.375
Ga 0.765 0.500 0.625
Ga 0.235 0.000 0.125
Ga 0.235 0.000 0.875
Ga 0.569 0.824 0.500
Ga 0.569 0.176 0.500
Ga 0.431 0.676 0.000
Ga 0.431 0.324 0.000
As 0.558 0.290 0.370
As 0.558 0.710 0.370
As 0.558 0.290 0.630
As 0.558 0.710 0.630
As 0.442 0.210 0.130
As 0.442 0.790 0.130
As 0.442 0.210 0.870
As 0.442 0.790 0.870
As 0.982 0.500 0.261
As 0.982 0.500 0.739
As 0.018 0.000 0.239
As 0.018 0.000 0.761
As 0.701 0.500 0.000
As 0.299 0.000 0.500
As 0.161 0.500 0.000
As 0.839 0.000 0.500
As 0.954 0.500 0.500
As 0.046 0.000 0.000

Computed properties:
uncorrected energy	-4.618	eV per atom
symmetry	Pmmn, No. 59

---

(14)
BaGaAs | GGA-PBEsol | relaxed

Cell: 4.114 6.601 6.796 Å, 81.97 72.38 71.84°
Element x y z (fractional)
As 0.011 0.271 0.706
As 0.989 0.729 0.294
Ba 0.283 0.722 0.712
Ba 0.717 0.278 0.288
Ga 0.464 0.169 0.902
Ga 0.536 0.831 0.098

Computed properties:
uncorrected energy	-4.302	eV per atom
symmetry	C2/m, No. 12

---

(15)
Ba2GaAs | GGA-PBEsol | relaxed

Cell: 5.618 5.618 5.618 Å, 60.00 60.00 60.00°
Element x y z (fractional)
As 0.500 0.500 0.500
Ba 0.250 0.250 0.250
Ba 0.750 0.750 0.750
Ga 0.000 0.000 0.000

Computed properties:
uncorrected energy	-3.726	eV per atom
symmetry	Fm-3m, No. 225

---

(16)
BaGaAs2Se | GGA-PBEsol | relaxed

Cell: 5.105 5.105 5.837 Å, 90.00 90.00 90.00°
Element x y z (fractional)
As 0.000 0.500 0.000
As 0.500 0.000 0.000
Ga 0.500 0.500 0.500
Ba 0.000 0.000 0.500
Se 0.000 0.000 0.000

Computed properties:
uncorrected energy	-3.789	eV per atom
symmetry	P4/mmm, No. 123

---

(17)
BaGeAs2 | GGA-PBEsol | relaxed

Cell: 6.606 6.606 6.606 Å, 106.28 111.09 111.09°
Element x y z (fractional)
As 0.911 0.536 0.125
As 0.089 0.214 0.625
As 0.411 0.875 0.786
As 0.589 0.375 0.464
Ge 0.500 0.250 0.750
Ge 0.000 0.500 0.500
Ba 0.500 0.750 0.250
Ba 0.000 0.000 0.000

Computed properties:
uncorrected energy	-4.883	eV per atom
symmetry	I-42d, No. 122

---

(18)
Ba3GeAs | GGA-PBEsol | relaxed

Cell: 6.157 6.157 6.157 Å, 90.00 90.00 90.00°
Element x y z (fractional)
As 0.000 0.000 0.000
Ge 0.500 0.500 0.500
Ba 0.000 0.500 0.000
Ba 0.000 0.000 0.500
Ba 0.500 0.000 0.000

Computed properties:
uncorrected energy	-3.651	eV per atom
symmetry	Pm-3m, No. 221

---

(19)
BaGeAsSe2 | GGA-PBEsol | relaxed

Cell: 5.662 5.776 5.776 Å, 90.00 90.00 90.00°
Element x y z (fractional)
As 0.500 0.000 0.000
Ge 0.500 0.500 0.500
Ba 0.000 0.000 0.000
Se 0.000 0.000 0.500
Se 0.000 0.500 0.000

Computed properties:
uncorrected energy	-3.097	eV per atom
symmetry	P4/mmm, No. 123

---

(20)
BaHgAs2H | GGA-PBEsol | relaxed

Cell: 4.174 5.880 5.880 Å, 90.00 90.00 90.00°
Element x y z (fractional)
H 0.500 0.000 0.000
As 0.000 0.000 0.500
As 0.000 0.500 0.000
Hg 0.500 0.500 0.500
Ba 0.000 0.000 0.000

Computed properties:
uncorrected energy	-2.405	eV per atom
symmetry	P4/mmm, No. 123